[1]
SrMnBr, optimized geometry, DFT PBE; N(E_F) = 3.0 states/eV/cell; E_form (uncorrected) = -0.18 eV/atom
1.0
4.033 0.000 0.000
-2.016 3.493 0.000
0.000 0.000 6.770
Mn Br Sr
1 1 1
Cartesian
2.016 1.164 2.179
0.000 0.000 6.747
0.000 2.328 4.615



[2]
Sr2MnBr, optimized geometry, DFT PBE; N(E_F) = 3.6 states/eV/cell; polymorph energy (0 for the lowest one) = 226 meV per atom; E_form (uncorrected) = -0.15 eV/atom
1.0
-3.258 2.210 0.617
-2.266 -2.932 -1.466
-0.887 -3.830 9.033
Br Mn Sr
1 1 2
Cartesian
-0.408 -1.762 4.156
-3.448 -3.320 6.554
-0.855 -3.689 8.700
-3.032 -1.526 2.323



[3]
Sr2MnBr, optimized geometry, DFT PBE; N(E_F) = 11.3 states/eV/cell; polymorph energy (0 for the lowest one) = 236 meV per atom; E_form (uncorrected) = -0.14 eV/atom
1.0
8.546 0.000 0.000
0.000 8.546 0.000
4.273 4.273 4.184
Sr Mn Br
4 2 2
Cartesian
6.528 2.136 1.046
2.018 6.409 1.046
10.682 10.801 3.138
6.409 6.291 3.138
4.273 4.273 0.000
4.273 8.546 2.092
8.546 4.273 2.092
0.000 0.000 0.000



[4]
Sr2MnBr, optimized geometry, DFT PBE; N(E_F) = 3.8 states/eV/cell; polymorph energy (0 for the lowest one) = 275 meV per atom; E_form (uncorrected) = -0.10 eV/atom
1.0
0.000 4.091 4.091
4.091 0.000 4.091
4.091 4.091 0.000
Br Sr Mn
1 2 1
Cartesian
4.091 4.091 4.091
2.045 2.045 2.045
6.136 6.136 6.136
0.000 0.000 0.000



- Among the records above, which one has the lowest N(E_F)?
  SrMnBr



- The lowest N(E_F) belongs to which entry?
  SrMnBr